Entry 1:
VASP calculation (PBE) on an optimized crystal structure of DyHoZnCd.

Computed properties:
Space-group type   F-43m
E_form   -0.314 eV per atom
Energy relative to the lowest polymorph listed for this composition   0.07 eV per formula unit

a b c (Å): 5.1710 5.1710 5.1710
angles (deg): 60.00 60.00 60.00
Fractional coordinates of all 4 atoms:
Zn (0.2500, 0.2500, 0.2500)
Cd (0.7500, 0.7500, 0.7500)
Ho (0.5000, 0.5000, 0.5000)
Dy (0.0000, 0.0000, 0.0000)

---

Entry 2:
VASP calculation (PBE) on an optimized crystal structure of PmY2PuSe4.

Computed properties:
Raw formation energy   -14.0 eV per formula unit
Space-group type   P2/m

a b c (Å): 4.1072 7.1683 7.1541
angles (deg): 70.85 90.00 90.00
Each line ends with the local moment (μB).
Fractional coordinates of all 8 atoms:
Pm (0.5000, 0.5000, 0.0000)  0.05
Y (0.0000, 0.0000, 0.0000)  -0.02
Y (0.5000, 0.0000, 0.5000)  0.05
Pu (0.0000, 0.5000, 0.5000)  5.49
Se (0.0000, 0.7579, 0.7452)  -0.01
Se (0.0000, 0.2422, 0.2548)  -0.01
Se (0.5000, 0.7561, 0.2501)  -0.03
Se (0.5000, 0.2439, 0.7499)  -0.03

---

Entry 3:
VASP calculation (PBE) on an optimized crystal structure of Th2CdIr.

Computed properties:
Space-group type   R3m
E_form   -0.475 eV per atom
Energy relative to the lowest polymorph listed for this composition   0.00 eV per formula unit

a b c (Å): 4.1301 4.1301 8.3939
angles (deg): 75.76 75.76 60.00
Fractional coordinates of all 4 atoms:
Th (0.0657, 0.0657, 0.8030)
Th (0.2678, 0.2678, 0.1965)
Cd (0.4998, 0.4998, 0.5006)
Ir (0.6667, 0.6667, 0.9999)

---

Entry 4:
VASP calculation (PBE) on an optimized crystal structure of Dy2TlIrO8.

Computed properties:
Raw formation energy   -21.4 eV per formula unit
Space-group type   C2/m

a b c (Å): 4.9307 4.9302 7.0697
angles (deg): 89.97 89.97 92.60
Each line ends with the local moment (μB).
Fractional coordinates of all 12 atoms:
Dy (0.4992, 0.4992, 0.7540)  0.04
Dy (0.5008, 0.5008, 0.2460)  0.04
Tl (0.0000, 0.0000, 0.5000)  0.02
Ir (0.0000, 0.0000, 0.0000)  0.90
O (0.1844, 0.8139, 0.1973)  0.13
O (0.7179, 0.7181, 0.9991)  0.04
O (0.8141, 0.1846, 0.1973)  0.13
O (0.8156, 0.1861, 0.8027)  0.13
O (0.2821, 0.2819, 0.0009)  0.04
O (0.1859, 0.8154, 0.8027)  0.13
O (0.6974, 0.6975, 0.5005)  0.05
O (0.3026, 0.3025, 0.4995)  0.05

---

Entry 5:
VASP calculation (PBE) on an optimized crystal structure of BaIrBr2.

Computed properties:
Raw formation energy   0.1 eV per formula unit
Space-group type   Cmmm
Energy relative to the lowest polymorph listed for this composition   2.64 eV per formula unit

a b c (Å): 4.1666 4.1666 7.0118
angles (deg): 90.00 90.00 96.11
Each line ends with the local moment (μB).
Fractional coordinates of all 4 atoms:
Ir (0.5000, 0.5000, 0.2500)  2.18
Ba (0.5000, 0.5000, 0.7500)  0.03
Br (0.0000, 0.0000, 0.0016)  0.10
Br (0.0000, 0.0000, 0.4984)  0.10

---

Entry 6:
VASP calculation (PBE) on an optimized crystal structure of CrRe2Se.

Computed properties:
Raw formation energy   1.8 eV per formula unit
Space-group type   Immm
Energy relative to the lowest polymorph listed for this composition   0.95 eV per formula unit

a b c (Å): 5.2464 5.2464 5.2464
angles (deg): 147.18 130.84 60.37
Each line ends with the local moment (μB).
Fractional coordinates of all 4 atoms:
Cr (0.2500, 0.7500, 0.5000)  1.29
Re (0.9767, 0.9767, 0.0000)  -0.17
Re (0.5233, 0.5233, 0.0000)  -0.17
Se (0.7500, 0.2500, 0.5000)  -0.03

---

Entry 7:
VASP calculation (PBE) on an optimized crystal structure of PrDy2Co.

Computed properties:
Space-group type   R3m
E_form   -0.028 eV per atom
Energy relative to the lowest polymorph listed for this composition   0.38 eV per formula unit

a b c (Å): 3.8093 3.8093 9.3309
angles (deg): 78.22 78.22 60.00
Fractional coordinates of all 4 atoms:
Pr (0.5015, 0.5015, 0.4956)
Dy (0.0541, 0.0541, 0.8376)
Dy (0.2782, 0.2782, 0.1653)
Co (0.6662, 0.6662, 0.0014)

---

Entry 8:
VASP calculation (PBE) on an optimized crystal structure of ZnTc2C.

Computed properties:
Space-group type   I-42d
E_form   0.967 eV per atom
Energy relative to the lowest polymorph listed for this composition   3.31 eV per formula unit

a b c (Å): 4.9804 4.9804 6.3962
angles (deg): 67.09 67.09 90.00
Each line ends with the local moment (μB).
Fractional coordinates of all 8 atoms:
C (0.5000, 0.5000, 0.0000)  -0.04
C (0.2500, 0.7500, 0.5000)  -0.04
Zn (0.0000, 0.0000, 0.0000)  0.01
Zn (0.7500, 0.2500, 0.5000)  0.01
Tc (0.5118, 0.1250, 0.2500)  0.84
Tc (0.2382, 0.6250, 0.2500)  0.81
Tc (0.3750, 0.4882, 0.7500)  0.83
Tc (0.8750, 0.7618, 0.7500)  0.80

---

Copy entry 8 word for word.
VASP calculation (PBE) on an optimized crystal structure of ZnTc2C.

Computed properties:
Space-group type   I-42d
E_form   0.967 eV per atom
Energy relative to the lowest polymorph listed for this composition   3.31 eV per formula unit

a b c (Å): 4.9804 4.9804 6.3962
angles (deg): 67.09 67.09 90.00
Each line ends with the local moment (μB).
Fractional coordinates of all 8 atoms:
C (0.5000, 0.5000, 0.0000)  -0.04
C (0.2500, 0.7500, 0.5000)  -0.04
Zn (0.0000, 0.0000, 0.0000)  0.01
Zn (0.7500, 0.2500, 0.5000)  0.01
Tc (0.5118, 0.1250, 0.2500)  0.84
Tc (0.2382, 0.6250, 0.2500)  0.81
Tc (0.3750, 0.4882, 0.7500)  0.83
Tc (0.8750, 0.7618, 0.7500)  0.80